Record 1
Computed, not measured: crystalline CoB3Ir at its relaxed geometry at the GGA-PBE level of DFT.

a b c (Å): 4.0422 4.0422 4.0422
angles (deg): 90.00 90.00 90.00
Closest atoms and distances in Å follow each position.
Element x y z (fractional)
B  0.0000  0.0000  0.5000  2 Ir 2.02
B  0.0000  0.5000  0.0000  2 Ir 2.02
B  0.5000  0.0000  0.0000  2 Ir 2.02
Co  0.5000  0.5000  0.5000  12 B 2.86
Ir  0.0000  0.0000  0.0000  6 B 2.02

Space group: No. 221
DFT formation energy (meV per atom): 1265



Record 2
Computed, not measured: crystalline CoBIr at its relaxed geometry at the GGA-PBE level of DFT.

a b c (Å): 2.7866 2.6888 5.4142
angles (deg): 82.34 75.09 58.79
Closest atoms and distances in Å follow each position.
Element x y z (fractional)
Co  0.6366  0.0000  0.7268  2 B 1.95
Ir  0.3568  0.0000  0.2864  2 B 2.10
B  0.0066  0.0000  0.9867  2 Co 1.95, 2 Ir 2.10

Space group: No. 42
DFT formation energy (meV per atom): 192